# 1
{"formula": "Ir2PtO", "functional": "PBE", "state": "relaxed", "final_energy_ev_per_cell": -52.6, "lattice": [[-0.369, 0.514, -4.468], [-4.294, -1.375, 0.196], [-4.259, 5.714, -1.270]], "species": ["Ir", "Ir", "Ir", "O", "Pt", "O", "Pt", "Ir"], "frac_coords": [[0.875, 0.745, 0.750], [0.375, 0.505, 0.750], [0.255, 0.625, 0.250], [0.250, 0.750, 0.500], [0.000, 0.000, 0.000], [0.500, 0.500, 0.000], [0.750, 0.250, 0.500], [0.495, 0.125, 0.250]]}

# 2
{"formula": "IrPtO4", "functional": "PBE", "state": "relaxed", "final_energy_ev_per_cell": -76.6, "lattice": [[5.836, 0.000, 2.675], [2.918, 4.575, 1.338], [1.012, 0.000, 5.496]], "species": ["Ir", "O", "Pt", "O", "O", "O", "Pt", "O", "O", "O", "Ir", "O"], "frac_coords": [[0.252, 0.000, 0.000], [0.692, 0.805, 0.805], [0.749, 0.000, 0.000], [0.192, 0.811, 0.811], [0.813, 0.189, 0.189], [0.753, 0.311, 0.689], [0.499, 0.500, 0.500], [0.753, 0.689, 0.311], [0.302, 0.195, 0.195], [0.247, 0.695, 0.305], [0.002, 0.500, 0.500], [0.247, 0.305, 0.695]]}

# 3
{"formula": "IrPtO2", "functional": "PBE", "state": "relaxed", "relative_energy_ev_per_fu": 1.25, "final_energy_ev_per_cell": -24.7, "lattice": [[-2.368, -1.415, 6.002], [-2.239, -4.099, 4.671], [0.222, -2.924, 5.919]], "species": ["Pt", "Ir", "O", "O"], "frac_coords": [[0.500, 0.500, 0.500], [0.000, 0.000, 0.000], [0.897, 0.897, 0.897], [0.103, 0.103, 0.103]]}

# 4
{"formula": "Rb2IrPt3O12", "functional": "PBE", "state": "relaxed", "final_energy_ev_per_cell": -100.7, "lattice": [[7.254, 0.071, 0.050], [3.644, 6.273, 0.050], [3.644, 2.121, 5.903]], "species": ["O", "O", "O", "Ir", "O", "O", "Rb", "O", "O", "O", "Pt", "O", "Pt", "Rb", "O", "Pt", "O", "O"], "frac_coords": [[0.928, 0.331, 0.331], [0.072, 0.682, 0.072], [0.331, 0.331, 0.928], [0.000, 0.000, 0.000], [0.072, 0.669, 0.669], [0.318, 0.928, 0.928], [0.628, 0.628, 0.628], [0.669, 0.072, 0.669], [0.928, 0.318, 0.928], [0.682, 0.072, 0.072], [0.000, 0.000, 0.500], [0.331, 0.928, 0.331], [0.000, 0.500, 0.000], [0.372, 0.372, 0.372], [0.669, 0.669, 0.072], [0.500, 0.000, 0.000], [0.928, 0.928, 0.318], [0.072, 0.072, 0.682]]}

Looking at ΔE_f (raw) for the records above, in order, we have 0.6017, -0.5918, 0.0420, -0.6812 eV/atom.